No. 1
# ZnCoCuBi (GGA-PBE, relaxed)
# Total energy ... -3.705 eV/atom
# M_tot ... 0.01 μB per formula unit
# Crystal system ... cubic
data_ZnCoCuBi
_symmetry_space_group_name_H-M 'F -4 3 m'
_symmetry_Int_Tables_number 216
_symmetry_space_group_name_Hall 'F -4 2 3'
_cell_length_a 6.334
_cell_length_b 6.334
_cell_length_c 6.334
_cell_angle_alpha 90.00
_cell_angle_beta 90.00
_cell_angle_gamma 90.00
loop_
_atom_site_label
_atom_site_fract_x
_atom_site_fract_y
_atom_site_fract_z
Zn1 0.000 0.000 0.000
Co1 0.250 0.250 0.750
Cu1 0.250 0.250 0.250
Bi1 0.000 0.000 0.500

---

No. 2
# SmCdAg (GGA-PBE, relaxed)
# Energy of formation from the pure elements ... 0.147 eV per atom
# Total energy ... -2.663 eV/atom
# M_tot ... 0.02 μB per formula unit
# Crystal system ... cubic
data_SmCdAg
_symmetry_space_group_name_H-M 'F -4 3 m'
_symmetry_Int_Tables_number 216
_symmetry_space_group_name_Hall 'F -4 2 3'
_cell_length_a 7.043
_cell_length_b 7.043
_cell_length_c 7.043
_cell_angle_alpha 90.00
_cell_angle_beta 90.00
_cell_angle_gamma 90.00
loop_
_atom_site_label
_atom_site_fract_x
_atom_site_fract_y
_atom_site_fract_z
Sm1 0.000 0.000 0.000
Cd1 0.250 0.250 0.250
Ag1 0.250 0.250 0.750

---

No. 3
# Pr2Y2CI5 (GGA-PBE, relaxed)
# Total energy ... -5.049 eV/atom
# M_tot ... 0.02 μB per formula unit
# Crystal system ... monoclinic
data_Pr2Y2CI5
_symmetry_space_group_name_H-M 'C 1 2/m 1'
_symmetry_Int_Tables_number 12
_cell_length_a 19.107
_cell_length_b 4.026
_cell_length_c 8.782
_cell_angle_alpha 90.00
_cell_angle_beta 103.12
_cell_angle_gamma 90.00
loop_
_symmetry_equiv_pos_as_xyz
'x,y,z'
'-x,-y,-z'
'-x,y,-z'
'x,-y,z'
'x+1/2,y+1/2,z'
'-x+1/2,-y+1/2,-z'
'-x+1/2,y+1/2,-z'
'x+1/2,-y+1/2,z'
loop_
_atom_site_label
_atom_site_fract_x
_atom_site_fract_y
_atom_site_fract_z
Pr1 0.137 0.000 0.069
Y1 0.000 0.500 0.187
C1 0.000 0.000 0.000
I1 0.000 0.000 0.500
I2 0.161 0.500 0.353
I3 0.166 0.500 0.808

---

No. 4
# Dy2Tc2C3 (GGA-PBE, relaxed)
# Total energy ... -8.580 eV/atom
# M_tot ... 0.01 μB per formula unit
# Crystal system ... monoclinic
data_Dy2Tc2C3
_symmetry_space_group_name_H-M 'C 1 2/m 1'
_symmetry_Int_Tables_number 12
_cell_length_a 11.647
_cell_length_b 3.327
_cell_length_c 5.683
_cell_angle_alpha 90.00
_cell_angle_beta 114.00
_cell_angle_gamma 90.00
loop_
_symmetry_equiv_pos_as_xyz
'x,y,z'
'-x,-y,-z'
'-x,y,-z'
'x,-y,z'
'x+1/2,y+1/2,z'
'-x+1/2,-y+1/2,-z'
'-x+1/2,y+1/2,-z'
'x+1/2,-y+1/2,z'
loop_
_atom_site_label
_atom_site_fract_x
_atom_site_fract_y
_atom_site_fract_z
Dy1 0.109 0.000 0.321
Tc1 0.158 0.500 0.821
C1 0.000 0.500 0.500
C2 0.247 0.500 0.229

---

No. 5
# TbGdTa2Ge2 (GGA-PBE, relaxed)
# Total energy ... -7.626 eV/atom
# M_tot ... 1.10 μB per formula unit
# Crystal system ... tetragonal
data_TbGdTa2Ge2
_symmetry_space_group_name_H-M 'P 4 m m'
_symmetry_Int_Tables_number 99
_cell_length_a 4.034
_cell_length_b 4.034
_cell_length_c 7.916
_cell_angle_alpha 90.00
_cell_angle_beta 90.00
_cell_angle_gamma 90.00
loop_
_symmetry_equiv_pos_as_xyz
'x,y,z'
'-y,x,z'
'-x,-y,z'
'y,-x,z'
'-x,y,z'
'y,x,z'
'x,-y,z'
'-y,-x,z'
loop_
_atom_site_label
_atom_site_fract_x
_atom_site_fract_y
_atom_site_fract_z
Tb1 0.000 0.000 0.000
Gd1 0.500 0.500 0.297
Ta1 0.000 0.500 0.649
Ge1 0.000 0.000 0.406
Ge2 0.500 0.500 0.893

---

No. 6
# Ta2SnHg (GGA-PBE, relaxed)
# Total energy ... -6.356 eV/atom
# M_tot ... 0.01 μB per formula unit
# Crystal system ... cubic
data_Ta2SnHg
_symmetry_space_group_name_H-M 'F -4 3 m'
_symmetry_Int_Tables_number 216
_symmetry_space_group_name_Hall 'F -4 2 3'
_cell_length_a 6.860
_cell_length_b 6.860
_cell_length_c 6.860
_cell_angle_alpha 90.00
_cell_angle_beta 90.00
_cell_angle_gamma 90.00
loop_
_atom_site_label
_atom_site_fract_x
_atom_site_fract_y
_atom_site_fract_z
Ta1 0.000 0.000 0.000
Ta2 0.250 0.250 0.250
Sn1 0.000 0.000 0.500
Hg1 0.250 0.250 0.750

---

No. 7
# UGeOs (GGA-PBE, relaxed)
# Total energy ... -9.005 eV/atom
# M_tot ... 1.82 μB per formula unit
# Crystal system ... cubic
data_UGeOs
_symmetry_space_group_name_H-M 'F -4 3 m'
_symmetry_Int_Tables_number 216
_symmetry_space_group_name_Hall 'F -4 2 3'
_cell_length_a 6.315
_cell_length_b 6.315
_cell_length_c 6.315
_cell_angle_alpha 90.00
_cell_angle_beta 90.00
_cell_angle_gamma 90.00
loop_
_atom_site_label
_atom_site_fract_x
_atom_site_fract_y
_atom_site_fract_z
U1 0.000 0.000 0.000
Ge1 0.000 0.000 0.500
Os1 0.250 0.250 0.750

---

No. 8
# Er5CoTe3 (GGA-PBE, relaxed)
# Total energy ... -4.939 eV/atom
# M_tot ... 0.01 μB per formula unit
# Crystal system ... hexagonal
data_Er5CoTe3
_symmetry_space_group_name_H-M 'P -6 2 m'
_symmetry_Int_Tables_number 189
_symmetry_space_group_name_Hall 'P -6 -2'
_cell_length_a 8.4791
_cell_length_b 8.4791
_cell_length_c 3.7210
_cell_angle_alpha 90.00
_cell_angle_beta 90.00
_cell_angle_gamma 120.00
loop_
_atom_site_label
_atom_site_fract_x
_atom_site_fract_y
_atom_site_fract_z
Er1 0.0000 0.2242 0.0000
Er2 0.3333 0.6667 0.0000
Co1 0.0000 0.0000 0.5000
Te1 0.0000 0.5983 0.5000

---

No. 9
# HgBi2Os (GGA-PBE, relaxed)
# Total energy ... -3.934 eV/atom
# M_tot ... 0.01 μB per formula unit
# Crystal system ... cubic
data_HgBi2Os
_symmetry_space_group_name_H-M 'F -4 3 m'
_symmetry_Int_Tables_number 216
_symmetry_space_group_name_Hall 'F -4 2 3'
_cell_length_a 7.179
_cell_length_b 7.179
_cell_length_c 7.179
_cell_angle_alpha 90.00
_cell_angle_beta 90.00
_cell_angle_gamma 90.00
loop_
_atom_site_label
_atom_site_fract_x
_atom_site_fract_y
_atom_site_fract_z
Hg1 0.000 0.000 0.000
Bi1 0.000 0.000 0.500
Bi2 0.250 0.250 0.250
Os1 0.250 0.250 0.750

---

No. 10
# Zr4AlCoC2 (GGA-PBE, relaxed)
# Total energy ... -8.421 eV/atom
# M_tot ... 0.79 μB per formula unit
# Crystal system ... hexagonal
data_Zr4AlCoC2
_symmetry_space_group_name_H-M 'P -6 m 2'
_symmetry_Int_Tables_number 187
_symmetry_space_group_name_Hall 'P -6 2'
_cell_length_a 3.2981
_cell_length_b 3.2981
_cell_length_c 13.9154
_cell_angle_alpha 90.00
_cell_angle_beta 90.00
_cell_angle_gamma 120.00
loop_
_atom_site_label
_atom_site_fract_x
_atom_site_fract_y
_atom_site_fract_z
Zr1 0.0000 0.0000 0.1398
Zr2 0.6667 0.3333 0.3297
Al1 0.0000 0.0000 0.5000
Co1 0.6667 0.3333 0.0000
C1 0.3333 0.6667 0.2388

---

No. 11
# Tm6GaCo2 (GGA-PBE, relaxed)
# Total energy ... -5.220 eV/atom
# M_tot ... 0.00 μB per formula unit
# Crystal system ... orthorhombic
data_Tm6GaCo2
_symmetry_space_group_name_H-M 'I m m m'
_symmetry_Int_Tables_number 71
_symmetry_space_group_name_Hall '-I 2 2'
_cell_length_a 9.153
_cell_length_b 9.310
_cell_length_c 9.736
_cell_angle_alpha 90.00
_cell_angle_beta 90.00
_cell_angle_gamma 90.00
loop_
_atom_site_label
_atom_site_fract_x
_atom_site_fract_y
_atom_site_fract_z
Tm1 0.000 0.201 0.235
Tm2 0.195 0.500 0.180
Tm3 0.217 0.316 0.500
Ga1 0.000 0.000 0.000
Ga2 0.000 0.000 0.500
Co1 0.000 0.366 0.000
Co2 0.000 0.500 0.385

---

No. 12
# Li2Sc2Tl2PdAu (GGA-PBE, relaxed)
# Total energy ... -4.186 eV/atom
# M_tot ... 0.01 μB per formula unit
# Crystal system ... tetragonal
data_Li2Sc2Tl2PdAu
_symmetry_space_group_name_H-M 'P -4 m 2'
_symmetry_Int_Tables_number 115
_cell_length_a 4.705
_cell_length_b 4.705
_cell_length_c 6.673
_cell_angle_alpha 90.00
_cell_angle_beta 90.00
_cell_angle_gamma 90.00
loop_
_symmetry_equiv_pos_as_xyz
'x,y,z'
'y,-x,-z'
'-x,-y,z'
'-y,x,-z'
'-x,y,z'
'-y,-x,-z'
'x,-y,z'
'y,x,-z'
loop_
_atom_site_label
_atom_site_fract_x
_atom_site_fract_y
_atom_site_fract_z
Li1 0.000 0.000 0.000
Li2 0.500 0.500 0.500
Sc1 0.000 0.500 0.745
Tl1 0.000 0.500 0.257
Pd1 0.000 0.000 0.500
Au1 0.500 0.500 0.000

---

Among the records above, which one has the lowest M_tot?
Tm6GaCo2